No. 1
This record from Alexandria describes an optimized crystal structure of Zn2BSe. The functional is GGA-PBEsol.

Summary:
density of states at the Fermi level = 6.71 states/eV per cell
symmetry = I-42d, No. 122
uncorrected formation energy = 0.482 eV per atom
total DFT energy (no corrections) = -3.026 eV per atom
magnetization = 0.0 Bohr magnetons per cell

The structure in POSCAR format:
```
Zn2BSe
1.0
5.5867 0.0000 0.0000
0.0000 5.5867 0.0000
0.0000 0.0000 8.9914
Zn B Se
8 4 4
direct
0.1998 0.2500 0.1250
0.2500 0.6998 0.3750
0.2500 0.8002 0.8750
0.3002 0.2500 0.6250
0.6998 0.7500 0.6250
0.7500 0.1998 0.8750
0.7500 0.3002 0.3750
0.8002 0.7500 0.1250
0.0000 0.0000 0.0000
0.0000 0.5000 0.2500
0.5000 0.0000 0.7500
0.5000 0.5000 0.5000
0.0000 0.0000 0.5000
0.0000 0.5000 0.7500
0.5000 0.0000 0.2500
0.5000 0.5000 0.0000
```

No. 2
This record from Alexandria describes an optimized crystal structure of ZnBSe2. The functional is GGA-PBEsol.

Summary:
density of states at the Fermi level = 4.01 states/eV per cell
symmetry = R-3m, No. 166
uncorrected formation energy = 0.436 eV per atom
total DFT energy (no corrections) = -3.639 eV per atom
magnetization = 0.0 Bohr magnetons per cell

The structure in POSCAR format:
```
ZnBSe2
1.0
3.3255 0.0000 0.0000
-1.6628 2.8800 0.0000
0.0000 0.0000 21.7670
Zn B Se
3 3 6
direct
0.0000 0.0000 0.0000
0.3333 0.6667 0.6667
0.6667 0.3333 0.3333
0.0000 0.0000 0.5000
0.3333 0.6667 0.1667
0.6667 0.3333 0.8333
0.0000 0.0000 0.1104
0.0000 0.0000 0.8896
0.3333 0.6667 0.5562
0.3333 0.6667 0.7771
0.6667 0.3333 0.2229
0.6667 0.3333 0.4438
```

No. 3
This record from Alexandria describes an optimized crystal structure of Zr3BSe. The functional is GGA-PBEsol.

Summary:
density of states at the Fermi level = 5.08 states/eV per cell
symmetry = Pm-3m, No. 221
uncorrected formation energy = -0.254 eV per atom
total DFT energy (no corrections) = -7.881 eV per atom
magnetization = 0.0 Bohr magnetons per cell

The structure in POSCAR format:
```
Zr3BSe
1.0
4.5636 0.0000 0.0000
0.0000 4.5636 0.0000
0.0000 0.0000 4.5636
Zr B Se
3 1 1
direct
0.0000 0.0000 0.5000
0.0000 0.5000 0.0000
0.5000 0.0000 0.0000
0.0000 0.0000 0.0000
0.5000 0.5000 0.5000
```